MnTl2As (GGA-PBEsol, optimized geometry); ΔE to the lowest computed polymorph = 0.174 eV per atom; E_form = 0.435 eV per atom; M_tot = 4.47 μB/cell
1.0
4.197 0.000 0.000
0.000 4.321 0.000
0.000 0.000 4.902
Mn Tl As
1 2 1
Direct
0.000 0.000 0.000
0.000 0.500 0.500
0.500 0.000 0.500
0.500 0.500 0.000